[1]
# La3HoH8 | Alexandria via LeMat-Bulk | PBE-GGA | relaxed
# Size of the total moment   0.0 Bohr magnetons per cell
# DFT total energy   -4.51 eV/atom
# Crystal system   cubic
data_La3HoH8
_cell_length_a 5.506
_cell_length_b 5.506
_cell_length_c 5.506
_cell_angle_alpha 90.00
_cell_angle_beta 90.00
_cell_angle_gamma 90.00
_symmetry_space_group_name_H-M 'P m -3 m'
_symmetry_Int_Tables_number 221
_symmetry_space_group_name_Hall '-P 4 2 3'
loop_
_atom_site_label
_atom_site_type_symbol
_atom_site_fract_x
_atom_site_fract_y
_atom_site_fract_z
La1 La 0.000 0.000 0.500
Ho1 Ho 0.500 0.500 0.500
H1 H 0.263 0.263 0.263

=====

[2]
# La3Ho5H12 | Alexandria via LeMat-Bulk | PBE-GGA | relaxed
# Size of the total moment   0.0 Bohr magnetons per cell
# DFT total energy   -4.36 eV/atom
# Crystal system   cubic
data_La3Ho5H12
_cell_length_a 13.388
_cell_length_b 13.388
_cell_length_c 13.388
_cell_angle_alpha 90.00
_cell_angle_beta 90.00
_cell_angle_gamma 90.00
_symmetry_space_group_name_H-M 'I a -3 d'
_symmetry_Int_Tables_number 230
_symmetry_space_group_name_Hall '-I 4bd 2c 3'
loop_
_atom_site_label
_atom_site_type_symbol
_atom_site_fract_x
_atom_site_fract_y
_atom_site_fract_z
La1 La 0.000 0.250 0.125
Ho1 Ho 0.000 0.000 0.000
Ho2 Ho 0.000 0.250 0.375
H1 H 0.011 0.066 0.651

=====

[3]
# La5Ho3H12 | Alexandria via LeMat-Bulk | PBE-GGA | relaxed
# Size of the total moment   0.0 Bohr magnetons per cell
# DFT total energy   -4.35 eV/atom
# Crystal system   cubic
data_La5Ho3H12
_cell_length_a 13.573
_cell_length_b 13.573
_cell_length_c 13.573
_cell_angle_alpha 90.00
_cell_angle_beta 90.00
_cell_angle_gamma 90.00
_symmetry_space_group_name_H-M 'I a -3 d'
_symmetry_Int_Tables_number 230
_symmetry_space_group_name_Hall '-I 4bd 2c 3'
loop_
_atom_site_label
_atom_site_type_symbol
_atom_site_fract_x
_atom_site_fract_y
_atom_site_fract_z
La1 La 0.000 0.000 0.000
La2 La 0.000 0.250 0.375
Ho1 Ho 0.000 0.250 0.125
H1 H 0.004 0.073 0.159